(1)
Here is Cr3WF after structural relaxation from Alexandria via LeMat-Bulk. Energies are from GGA-PBEsol.

Structure (POSCAR):
```
Cr3WF
1.0
-2.518 3.965 -0.072
-3.391 -2.109 2.474
2.055 1.378 3.993
Cr W F
3 1 1
direct
0.000 0.500 0.000
0.000 0.000 0.500
0.500 0.000 0.000
0.000 0.000 0.000
0.500 0.500 0.500
```

Computed properties:
**Uncorrected formation energy**: 8.019 eV/f.u.
**DFT total energy**: -7.688 eV per atom


(2)
Here is Y3CrF after structural relaxation from Alexandria via LeMat-Bulk. Energies are from GGA-PBEsol.

Structure (POSCAR):
```
Y3CrF
1.0
-0.874 -3.434 3.708
0.610 -3.807 -3.382
5.017 -0.136 1.058
Y Cr F
3 1 1
direct
0.000 0.500 0.000
0.000 0.000 0.500
0.500 0.000 0.000
0.000 0.000 0.000
0.500 0.500 0.500
```

Computed properties:
**Uncorrected formation energy**: 0.755 eV/f.u.
**DFT total energy**: -6.376 eV per atom